The following is a DFT calculation (PBE) of a relaxed structure of LiSnHg3.

Unit cell a=4.9981 b=4.9981 c=4.9981 alpha=90.00 beta=90.00 gamma=90.00
Last column: nearest neighbours and their distance in Å.
Sites, in units of the cell vectors:
Hg 0.0000 0.0000 0.5000  2 Li 2.50
Hg 0.5000 0.0000 0.0000  2 Li 2.50
Hg 0.0000 0.5000 0.0000  2 Li 2.50
Sn 0.5000 0.5000 0.5000  12 Hg 3.53
Li 0.0000 0.0000 0.0000  6 Hg 2.50

* formation enthalpy at 0 K: 0.118 eV per atom
* symmetry: Pm-3m
* energy relative to the lowest polymorph listed for this composition: 224 meV/atom